Material: YTa2Fe
Method: DFT, PBE-GGA
State: optimized geometry

abc: 4.9362 3.9351 3.9351
angles: 90.00 90.00 90.00
Sites, in units of the cell vectors:
Ta1 0.0000 0.0000 0.0000
Ta2 0.0000 0.5000 0.5000
Y1 0.5000 0.5000 0.0000
Fe1 0.5000 0.0000 0.5000

Properties
Energy of formation in kcal/mol of atoms: 11.4
Space-group type: P4/mmm, No. 123
Polymorph energy (0 for the lowest one) in meV per atom: 357
Energy in eV/atom: -9.16

---

Material: Y2TaFe
Method: DFT, PBE-GGA
State: optimized geometry

abc: 4.6482 4.6489 4.1211
angles: 90.00 90.00 90.00
Sites, in units of the cell vectors:
Ta1 0.0000 0.5000 0.5000
Y1 0.0000 0.0000 0.0000
Y2 0.5000 0.5000 0.0000
Fe1 0.5000 0.0000 0.5000

Properties
Energy of formation in kcal/mol of atoms: 13.0
Space-group type: P4/mmm, No. 123
Polymorph energy (0 for the lowest one) in meV per atom: 456
Energy in eV/atom: -7.75

---

Material: YTaFe
Method: DFT, PBE-GGA
State: optimized geometry

abc: 4.4239 4.4239 4.4239
angles: 60.00 60.00 60.00
Sites, in units of the cell vectors:
Ta1 0.0000 0.0000 0.0000
Y1 0.5000 0.5000 0.5000
Fe1 0.2500 0.2500 0.2500

Properties
Energy of formation in kcal/mol of atoms: 10.3
Space-group type: F-43m, No. 216
Polymorph energy (0 for the lowest one) in meV per atom: 479
Energy in eV/atom: -8.48

---

Material: YTa2Fe
Method: DFT, PBE-GGA
State: optimized geometry

abc: 4.6325 4.6325 4.6325
angles: 60.00 60.00 60.00
Sites, in units of the cell vectors:
Y1 0.5000 0.5000 0.5000
Ta1 0.2500 0.2500 0.2500
Ta2 0.7500 0.7500 0.7500
Fe1 0.0000 0.0000 0.0000

Properties
Energy of formation in kcal/mol of atoms: 12.8
Space-group type: Fm-3m, No. 225
Polymorph energy (0 for the lowest one) in meV per atom: 419
Energy in eV/atom: -9.10

---

Question: The lowest polymorph energy (0 for the lowest one) belongs to which entry?
Answer: number 1